# SrSmSn4

A relaxed structure of SrSmSn4 (PBE, Alexandria via LeMat-Bulk).

extended XYZ file:
```
6
Lattice="0.0000 4.4571 4.4571 4.4571 0.0000 4.4571 4.4571 4.4571 0.0000" Properties=species:S:1:pos:R:3 pbc="T T T"
Sr 0.0000 0.0000 0.0000
Sm 2.2286 2.2286 2.2286
Sn 5.5665 3.3478 3.3478
Sn 3.3478 5.5665 3.3478
Sn 3.3478 3.3478 5.5665
Sn 5.5665 5.5665 5.5665
```

Formation energy from the elements   -366 meV per atom
Crystal system   cubic